No. 1
A relaxed ScTe5 crystal. Source: Alexandria via LeMat-Bulk, functional PBE.

SG: P6/mmm, No. 191
ΔE_f (raw): 0.18 eV/atom
V: 218 Å³/f.u.

a = 5.7501 Å, b = 5.7501 Å, c = 7.6110 Å
α = 90.00°, β = 90.00°, γ = 120.00°
With the nearest neighbours (Å) after each atom.
Element x y z (fractional)
Sc: 0.0000 0.0000 0.0000  6 Te 3.32
Te: 0.0000 0.5000 0.5000  4 Te 2.88
Te: 0.3333 0.6667 0.0000  3 Sc 3.32, 3 Te 3.32
Te: 0.5000 0.0000 0.5000  4 Te 2.88
Te: 0.5000 0.5000 0.5000  4 Te 2.88
Te: 0.6667 0.3333 0.0000  3 Sc 3.32, 3 Te 3.32

***

No. 2
A relaxed ScTe2 crystal. Source: Alexandria via LeMat-Bulk, functional PBE.

SG: Pnnm, No. 58
ΔE_f (raw): -0.87 eV/atom
V: 93 Å³/f.u.

a = 6.1023 Å, b = 7.1739 Å, c = 4.2326 Å
α = 90.00°, β = 90.00°, γ = 90.00°
With the nearest neighbours (Å) after each atom.
Element x y z (fractional)
Sc: 0.0000 0.0000 0.0000  6 Te 2.92-2.93
Sc: 0.5000 0.5000 0.5000  6 Te 2.92-2.93
Te: 0.2071 0.3674 0.0000  3 Sc 2.92-2.93, 1 Te 3.16
Te: 0.2929 0.8674 0.5000  3 Sc 2.92-2.93, 1 Te 3.16
Te: 0.7071 0.1326 0.5000  3 Sc 2.92-2.93, 1 Te 3.16
Te: 0.7929 0.6326 0.0000  3 Sc 2.92-2.93, 1 Te 3.16

***

No. 3
A relaxed ScTe crystal. Source: Alexandria via LeMat-Bulk, functional PBE.

SG: P6_3mc, No. 186
ΔE_f (raw): -0.74 eV/atom
V: 68 Å³/f.u.

a = 4.3007 Å, b = 4.3007 Å, c = 8.4858 Å
α = 90.00°, β = 90.00°, γ = 120.00°
With the nearest neighbours (Å) after each atom.
Element x y z (fractional)
Sc: 0.3333 0.6667 0.0000  4 Te 2.84-2.85
Sc: 0.6667 0.3333 0.5000  4 Te 2.84-2.85
Te: 0.3333 0.6667 0.3341  4 Sc 2.84-2.85
Te: 0.6667 0.3333 0.8341  4 Sc 2.84-2.85

***

No. 4
A relaxed Sc2Te3 crystal. Source: Alexandria via LeMat-Bulk, functional PBE.

SG: Fddd, No. 70
ΔE_f (raw): -1.23 eV/atom
V: 151 Å³/f.u.

a = 13.7153 Å, b = 13.0760 Å, c = 7.1890 Å
α = 79.41°, β = 69.58°, γ = 31.01°
With the nearest neighbours (Å) after each atom.
Element x y z (fractional)
Sc: 0.0429 0.0429 0.2071  6 Te 2.93-2.95
Sc: 0.1246 0.1246 0.6254  6 Te 2.92-2.94
Sc: 0.2071 0.2071 0.0429  6 Te 2.93-2.95
Sc: 0.3746 0.3746 0.8754  6 Te 2.92-2.94
Sc: 0.6254 0.6254 0.1246  6 Te 2.92-2.94
Sc: 0.7929 0.7929 0.9571  6 Te 2.93-2.95
Sc: 0.8754 0.8754 0.3746  6 Te 2.92-2.94
Sc: 0.9571 0.9571 0.7929  6 Te 2.93-2.95
Te: 0.0424 0.5414 0.2074  4 Sc 2.92-2.95
Te: 0.1279 0.6221 0.6221  4 Sc 2.93
Te: 0.2074 0.7088 0.0424  4 Sc 2.92-2.95
Te: 0.2912 0.7926 0.4586  4 Sc 2.92-2.95
Te: 0.3779 0.8721 0.8721  4 Sc 2.93
Te: 0.4586 0.9576 0.2912  4 Sc 2.92-2.95
Te: 0.5414 0.0424 0.7088  4 Sc 2.92-2.95
Te: 0.6221 0.1279 0.1279  4 Sc 2.93
Te: 0.7088 0.2074 0.5414  4 Sc 2.92-2.95
Te: 0.7926 0.2912 0.9576  4 Sc 2.92-2.95
Te: 0.8721 0.3779 0.3779  4 Sc 2.93
Te: 0.9576 0.4586 0.7926  4 Sc 2.92-2.95

***

Q: ΔE_f (raw) of number 3 (ScTe)?
A: -0.74 eV/atom